Record 1
# Lu4Zr2Ni3N3 (PBE-GGA, relaxed)
# E in eV per cell: -347.93
# Magnetic moment in μB/f.u.: 0.0
data_Lu4Zr2Ni3N3
_chemical_formula_sum 'Lu16 Zr8 Ni12 N12'
_cell_length_a 9.780
_cell_length_b 5.652
_cell_length_c 14.049
_cell_angle_alpha 90.00
_cell_angle_beta 103.57
_cell_angle_gamma 90.00
_symmetry_space_group_name_H-M 'C 1 2/c 1'
_symmetry_Int_Tables_number 15
_symmetry_space_group_name_Hall '-C 2yc'
loop_
_atom_site_label
_atom_site_type_symbol
_atom_site_fract_x
_atom_site_fract_y
_atom_site_fract_z
Lu1 Lu 0.116 0.083 0.096
Lu2 Lu 0.217 0.083 0.404
Zr1 Zr 0.048 0.417 0.896
Ni1 Ni 0.000 0.073 0.250
Ni2 Ni 0.240 0.343 0.249
N1 N 0.079 0.263 0.500
N2 N 0.250 0.250 0.000

=====

Record 2
# HoCdAg (PBE-GGA, relaxed)
# ΔH_f (0 K) in meV per atom: 168
# Magnetic moment in μB/f.u.: 0.0
data_HoCdAg
_chemical_formula_sum 'Ho4 Cd4 Ag4'
_cell_length_a 6.903
_cell_length_b 6.903
_cell_length_c 6.903
_cell_angle_alpha 90.00
_cell_angle_beta 90.00
_cell_angle_gamma 90.00
_symmetry_space_group_name_H-M 'F -4 3 m'
_symmetry_Int_Tables_number 216
_symmetry_space_group_name_Hall 'F -4 2 3'
loop_
_atom_site_label
_atom_site_type_symbol
_atom_site_fract_x
_atom_site_fract_y
_atom_site_fract_z
Ho1 Ho 0.000 0.000 0.000
Cd1 Cd 0.250 0.250 0.250
Ag1 Ag 0.250 0.250 0.750

=====

Record 3
# LuCoTe2 (PBE-GGA, relaxed)
# E in eV per cell: -69.51
# Magnetic moment in μB/f.u.: 1.7
data_LuCoTe2
_chemical_formula_sum 'Lu4 Co4 Te8'
_cell_length_a 7.099
_cell_length_b 7.099
_cell_length_c 7.099
_cell_angle_alpha 90.00
_cell_angle_beta 90.00
_cell_angle_gamma 90.00
_symmetry_space_group_name_H-M 'F -4 3 m'
_symmetry_Int_Tables_number 216
_symmetry_space_group_name_Hall 'F -4 2 3'
loop_
_atom_site_label
_atom_site_type_symbol
_atom_site_fract_x
_atom_site_fract_y
_atom_site_fract_z
Lu1 Lu 0.000 0.000 0.000
Co1 Co 0.250 0.250 0.250
Te1 Te 0.000 0.000 0.500
Te2 Te 0.250 0.250 0.750

=====

Record 4
# RbHfTl (PBE-GGA, relaxed)
# E in eV per cell: -39.33
# Magnetic moment in μB/f.u.: 0.0
data_RbHfTl
_chemical_formula_sum 'Rb4 Hf4 Tl4'
_cell_length_a 7.323
_cell_length_b 7.323
_cell_length_c 7.323
_cell_angle_alpha 90.00
_cell_angle_beta 90.00
_cell_angle_gamma 90.00
_symmetry_space_group_name_H-M 'F -4 3 m'
_symmetry_Int_Tables_number 216
_symmetry_space_group_name_Hall 'F -4 2 3'
loop_
_atom_site_label
_atom_site_type_symbol
_atom_site_fract_x
_atom_site_fract_y
_atom_site_fract_z
Rb1 Rb 0.000 0.000 0.000
Hf1 Hf 0.250 0.250 0.250
Tl1 Tl 0.000 0.000 0.500

=====

Record 5
# LiScNiSn (PBE-GGA, relaxed)
# E in eV per cell: -81.02
# Magnetic moment in μB/f.u.: 0.0
data_LiScNiSn
_chemical_formula_sum 'Li4 Sc4 Ni4 Sn4'
_cell_length_a 6.319
_cell_length_b 6.319
_cell_length_c 6.319
_cell_angle_alpha 90.00
_cell_angle_beta 90.00
_cell_angle_gamma 90.00
_symmetry_space_group_name_H-M 'F -4 3 m'
_symmetry_Int_Tables_number 216
_symmetry_space_group_name_Hall 'F -4 2 3'
loop_
_atom_site_label
_atom_site_type_symbol
_atom_site_fract_x
_atom_site_fract_y
_atom_site_fract_z
Li1 Li 0.000 0.000 0.000
Sc1 Sc 0.250 0.250 0.250
Ni1 Ni 0.000 0.000 0.500
Sn1 Sn 0.250 0.250 0.750

=====

Record 6
# K5Li2PrF10 (PBE-GGA, relaxed)
# E in eV per cell: -352.04
# Magnetic moment in μB/f.u.: 0.0
data_K5Li2PrF10
_chemical_formula_sum 'K20 Li8 Pr4 F40'
_cell_length_a 19.747
_cell_length_b 7.682
_cell_length_c 6.763
_cell_angle_alpha 90.00
_cell_angle_beta 90.00
_cell_angle_gamma 90.00
_symmetry_space_group_name_H-M 'P n m a'
_symmetry_Int_Tables_number 62
_symmetry_space_group_name_Hall '-P 2ac 2n'
loop_
_atom_site_label
_atom_site_type_symbol
_atom_site_fract_x
_atom_site_fract_y
_atom_site_fract_z
K1 K 0.043 0.022 0.247
K2 K 0.135 0.750 0.556
K3 K 0.218 0.523 0.074
Li1 Li 0.081 0.750 0.963
Li2 Li 0.178 0.250 0.336
Pr1 Pr 0.108 0.250 0.754
F1 F 0.007 0.250 0.954
F2 F 0.013 0.250 0.532
F3 F 0.090 0.541 0.840
F4 F 0.128 0.750 0.188
F5 F 0.132 0.250 0.105
F6 F 0.150 0.071 0.487
F7 F 0.225 0.250 0.811
F8 F 0.234 0.750 0.791

=====

Record 7
# TbNdMg2 (PBE-GGA, relaxed)
# E in eV per cell: -51.53
# Magnetic moment in μB/f.u.: 0.0
data_TbNdMg2
_chemical_formula_sum 'Tb4 Nd4 Mg8'
_cell_length_a 7.676
_cell_length_b 7.676
_cell_length_c 7.676
_cell_angle_alpha 90.00
_cell_angle_beta 90.00
_cell_angle_gamma 90.00
_symmetry_space_group_name_H-M 'F m -3 m'
_symmetry_Int_Tables_number 225
_symmetry_space_group_name_Hall '-F 4 2 3'
loop_
_atom_site_label
_atom_site_type_symbol
_atom_site_fract_x
_atom_site_fract_y
_atom_site_fract_z
Tb1 Tb 0.000 0.000 0.000
Nd1 Nd 0.000 0.000 0.500
Mg1 Mg 0.250 0.250 0.250

=====

Record 8
# Y2Si2Ag (PBE-GGA, relaxed)
# E in eV per cell: -60.03
# Magnetic moment in μB/f.u.: 0.0
data_Y2Si2Ag
_chemical_formula_sum 'Y4 Si4 Ag2'
_cell_length_a 7.011
_cell_length_b 7.011
_cell_length_c 4.241
_cell_angle_alpha 90.00
_cell_angle_beta 90.00
_cell_angle_gamma 90.00
_symmetry_space_group_name_H-M 'P 4/m b m'
_symmetry_Int_Tables_number 127
_symmetry_space_group_name_Hall '-P 4 2ab'
loop_
_atom_site_label
_atom_site_type_symbol
_atom_site_fract_x
_atom_site_fract_y
_atom_site_fract_z
Y1 Y 0.177 0.323 0.000
Si1 Si 0.120 0.620 0.500
Ag1 Ag 0.000 0.000 0.500

=====

Record 9
# LaHgAu2 (PBE-GGA, relaxed)
# ΔH_f (0 K) in meV per atom: -520
# Magnetic moment in μB/f.u.: 0.0
data_LaHgAu2
_chemical_formula_sum 'La1 Hg1 Au2'
_cell_length_a 3.732
_cell_length_b 3.732
_cell_length_c 6.805
_cell_angle_alpha 90.00
_cell_angle_beta 90.00
_cell_angle_gamma 90.00
_symmetry_space_group_name_H-M 'P 4/m m m'
_symmetry_Int_Tables_number 123
_symmetry_space_group_name_Hall '-P 4 2'
loop_
_atom_site_label
_atom_site_type_symbol
_atom_site_fract_x
_atom_site_fract_y
_atom_site_fract_z
La1 La 0.000 0.000 0.000
Hg1 Hg 0.000 0.000 0.500
Au1 Au 0.500 0.500 0.265

=====

Record 10
# Na2Mg2InGaIr2 (PBE-GGA, relaxed)
# E in eV per cell: -30.39
# Magnetic moment in μB/f.u.: 0.0
data_Na2Mg2InGaIr2
_chemical_formula_sum 'Na2 Mg2 In1 Ga1 Ir2'
_cell_length_a 4.605
_cell_length_b 4.605
_cell_length_c 6.575
_cell_angle_alpha 90.00
_cell_angle_beta 90.00
_cell_angle_gamma 90.00
_symmetry_space_group_name_H-M 'P -4 m 2'
_symmetry_Int_Tables_number 115
_symmetry_space_group_name_Hall 'P -4 -2'
loop_
_atom_site_label
_atom_site_type_symbol
_atom_site_fract_x
_atom_site_fract_y
_atom_site_fract_z
Na1 Na 0.000 0.500 0.239
Mg1 Mg 0.000 0.000 0.000
Mg2 Mg 0.500 0.500 0.500
In1 In 0.000 0.000 0.500
Ga1 Ga 0.500 0.500 0.000
Ir1 Ir 0.000 0.500 0.762

=====

Record 11
# YCuGe2 (PBE-GGA, relaxed)
# E in eV per cell: -79.62
# Magnetic moment in μB/f.u.: 0.0
data_YCuGe2
_chemical_formula_sum 'Y4 Cu4 Ge8'
_cell_length_a 6.806
_cell_length_b 6.806
_cell_length_c 6.806
_cell_angle_alpha 90.00
_cell_angle_beta 90.00
_cell_angle_gamma 90.00
_symmetry_space_group_name_H-M 'F -4 3 m'
_symmetry_Int_Tables_number 216
_symmetry_space_group_name_Hall 'F -4 2 3'
loop_
_atom_site_label
_atom_site_type_symbol
_atom_site_fract_x
_atom_site_fract_y
_atom_site_fract_z
Y1 Y 0.000 0.000 0.000
Cu1 Cu 0.250 0.250 0.750
Ge1 Ge 0.000 0.000 0.500
Ge2 Ge 0.250 0.250 0.250

=====

Record 12
# ZnSbAsO (PBE-GGA, relaxed)
# E in eV per cell: -34.32
data_ZnSbAsO
_chemical_formula_sum 'Zn2 Sb2 As2 O2'
_cell_length_a 3.648
_cell_length_b 7.578
_cell_length_c 6.198
_cell_angle_alpha 90.00
_cell_angle_beta 90.00
_cell_angle_gamma 90.00
_symmetry_space_group_name_H-M 'P m c 21'
_symmetry_Int_Tables_number 26
_symmetry_space_group_name_Hall 'P 2c -2'
loop_
_atom_site_label
_atom_site_type_symbol
_atom_site_fract_x
_atom_site_fract_y
_atom_site_fract_z
Zn1 Zn 0.000 0.157 0.000
Sb1 Sb 0.500 0.357 0.591
As1 As 0.000 0.165 0.400
O1 O 0.500 0.231 0.880